The following is a PBE-GGA calculation of NaZrSe2Br after structural relaxation, from Alexandria. Values from VASP.

For the spin magnetization, the calculation gives 0.0 μB/f.u. As for the energy relative to the elements, uncorrected: 18.4 kJ/mol of atoms. The calculation puts the density of states at the Fermi level at 5.61 states/eV/cell. As for the space group: No. 123.

Cell and atoms, written as Quantum ESPRESSO input:
```
&SYSTEM
  ibrav = 0, nat = 5, ntyp = 4
/
ATOMIC_SPECIES
Na 22.99 Na.upf
Zr 91.22 Zr.upf
Se 78.96 Se.upf
Br 79.90 Br.upf
CELL_PARAMETERS angstrom
5.0935 0.0000 0.0000
0.0000 5.0935 0.0000
0.0000 0.0000 4.8742
ATOMIC_POSITIONS crystal
Na 0.0000 0.0000 0.0000
Zr 0.5000 0.5000 0.5000
Se 0.0000 0.5000 0.0000
Se 0.5000 0.0000 0.0000
Br 0.0000 0.0000 0.5000
```